Record 1
Compound: Te2PbS2
Source: the Alexandria database
Functional: PBE
Structure: optimized geometry

- VASP energy: -34.4 eV/cell
- SG: P4/mbm (127)
- E above lowest polymorph: 0.041 eV/atom
- Formation energy (no corrections): 1.06 eV/f.u.
- DOS at the Fermi energy: 0.429 states/eV per atom

Lattice parameters (Å, degrees): 8.335 8.335 3.785 90.00 90.00 90.00
Atoms (fractional coordinates):
Pb1 0.500 0.500 0.000
Te1 0.135 0.365 0.000
Te2 0.865 0.635 0.000
S1 0.701 0.799 0.500
S2 0.201 0.701 0.500
Te3 0.365 0.865 0.000
Pb2 0.000 0.000 0.000
S3 0.299 0.201 0.500
Te4 0.635 0.135 0.000
S4 0.799 0.299 0.500

Record 2
Compound: HfBeTe
Source: the Alexandria database
Functional: PBE
Structure: optimized geometry

- VASP energy: -70.4 eV/cell
- SG: Cm (8)
- E above lowest polymorph: 0.331 eV/atom
- Formation energy (no corrections): -0.77 eV/f.u.

Lattice parameters (Å, degrees): 9.777 4.080 7.060 90.00 103.84 90.00
Atoms (fractional coordinates):
Be1 0.684 0.000 0.536
Be2 0.924 0.500 0.782
Hf1 0.810 0.000 0.911
Te1 0.034 0.000 0.652
Te2 0.034 0.500 0.152
Be3 0.924 0.000 0.282
Te3 0.407 0.500 0.944
Hf2 0.589 0.000 0.171
Be4 0.684 0.500 0.036
Te4 0.407 0.000 0.444
Hf3 0.589 0.500 0.671
Hf4 0.810 0.500 0.411

Record 3
Compound: CrOs3S
Source: the Alexandria database
Functional: PBE
Structure: optimized geometry

- VASP energy: -36.7 eV/cell
- SG: Pm-3m (221)
- E above lowest polymorph: 1.023 eV/atom
- Formation energy (no corrections): 10.71 eV/f.u.
- DOS at the Fermi energy: 1.973 states/eV per atom

Lattice parameters (Å, degrees): 4.460 4.460 4.460 90.00 90.00 90.00
Atoms (fractional coordinates):
Cr1 0.000 0.000 0.000
Os1 0.000 0.500 0.000
S1 0.500 0.500 0.500
Os2 0.000 0.000 0.500
Os3 0.500 0.000 0.000

Record 4
Compound: Li2ReN2
Source: the Alexandria database
Functional: PBE
Structure: optimized geometry

- VASP energy: -34.2 eV/cell
- SG: P-3m1 (164)
- E above lowest polymorph: 0.096 eV/atom
- Formation energy (no corrections): -1.29 eV/f.u.
- DOS at the Fermi energy: 0.264 states/eV per atom

Lattice parameters (Å, degrees): 2.941 2.941 7.734 90.00 90.00 120.00
Atoms (fractional coordinates):
Li1 0.333 0.667 0.700
N1 0.667 0.333 0.838
Li2 0.667 0.333 0.300
Re1 0.000 0.000 0.000
N2 0.333 0.667 0.162

Record 5
Compound: ThNi4Sb
Source: the Alexandria database
Functional: PBE
Structure: optimized geometry

- VASP energy: -73.6 eV/cell
- SG: Cmcm (63)
- E above lowest polymorph: 0.000 eV/atom
- Formation energy (no corrections): -2.11 eV/f.u.
- DOS at the Fermi energy: 0.501 states/eV per atom

Lattice parameters (Å, degrees): 3.943 5.984 8.428 90.00 103.53 90.00
Atoms (fractional coordinates):
Ni1 0.071 0.750 0.143
Ni2 0.652 0.944 0.304
Ni3 0.500 0.000 0.000
Th1 0.904 0.750 0.808
Ni4 0.652 0.556 0.304
Ni5 0.929 0.250 0.857
Ni6 0.348 0.056 0.696
Th2 0.096 0.250 0.192
Sb1 0.765 0.250 0.531
Sb2 0.235 0.750 0.469
Ni7 0.348 0.444 0.696
Ni8 0.500 0.500 0.000

Record 6
Compound: SeS
Source: the Alexandria database
Functional: PBE
Structure: optimized geometry

- VASP energy: -14.1 eV/cell
- SG: P2_1/m (11)
- E above lowest polymorph: 0.233 eV/atom
- Formation energy (no corrections): 0.55 eV/f.u.
- DOS at the Fermi energy: 0.239 states/eV per atom

Lattice parameters (Å, degrees): 3.325 3.841 10.452 90.00 90.33 90.00
Atoms (fractional coordinates):
Se1 0.770 0.250 0.795
Se2 0.230 0.750 0.205
S1 0.768 0.750 0.680
S2 0.232 0.250 0.320

Record 7
Compound: PmNd2Tl2
Source: the Alexandria database
Functional: PBE
Structure: optimized geometry

- VASP energy: -39.7 eV/cell
- Calculated formation energy: -3.72 kcal/mol of atoms
- SG: P4/mbm (127)
- E above lowest polymorph: 0.000 eV/atom
- DOS at the Fermi energy: 1.228 states/eV per atom

Lattice parameters (Å, degrees): 3.554 9.362 9.362 90.00 90.00 90.00
Site moments in Bohr magnetons follow the coordinates.
Atoms (fractional coordinates):
Pm1 0.000 0.500 0.500  0.13
Nd1 0.000 0.121 0.621  -0.02
Nd2 0.000 0.379 0.121  -0.02
Tl1 0.500 0.678 0.178  0.00
Pm2 0.000 0.000 0.000  0.13
Tl2 0.500 0.322 0.822  0.00
Tl3 0.500 0.822 0.678  0.00
Tl4 0.500 0.178 0.322  0.00
Nd3 0.000 0.621 0.879  -0.02
Nd4 0.000 0.879 0.379  -0.02

Record 8
Compound: Rb2AgSnF6
Source: the Alexandria database
Functional: PBE
Structure: optimized geometry

- VASP energy: -42.8 eV/cell
- SG: I4/mmm (139)
- Formation energy (no corrections): -22.77 eV/f.u.
- DOS at the Fermi energy: 0.240 states/eV per atom

Lattice parameters (Å, degrees): 6.478 6.478 6.490 60.06 60.06 90.00
Atoms (fractional coordinates):
F1 0.764 0.236 0.000
F2 0.236 0.764 0.000
F3 0.765 0.765 0.470
Rb1 0.750 0.250 0.500
F4 0.764 0.764 0.000
Sn1 0.000 0.000 0.000
F5 0.235 0.235 0.530
F6 0.236 0.236 0.000
Rb2 0.250 0.750 0.500
Ag1 0.500 0.500 0.000

Record 9
Compound: MgBPdRh2
Source: the Alexandria database
Functional: PBE
Structure: optimized geometry

- VASP energy: -30.3 eV/cell
- Calculated formation energy: -9.96 kcal/mol of atoms
- SG: P4/mmm (123)
- DOS at the Fermi energy: 0.973 states/eV per atom

Lattice parameters (Å, degrees): 4.117 4.117 4.167 90.00 90.00 90.00
Atoms (fractional coordinates):
B1 0.000 0.000 0.000
Rh1 0.000 0.500 0.000
Pd1 0.000 0.000 0.500
Mg1 0.500 0.500 0.500
Rh2 0.500 0.000 0.000

Record 10
Compound: Zr5Ag
Source: the Alexandria database
Functional: PBE
Structure: optimized geometry

- VASP energy: -45.2 eV/cell
- Calculated formation energy: 1.39 kcal/mol of atoms
- SG: P-62m (189)
- E above lowest polymorph: 0.087 eV/atom
- DOS at the Fermi energy: 1.141 states/eV per atom

Lattice parameters (Å, degrees): 5.466 5.466 5.173 90.00 90.00 120.00
Atoms (fractional coordinates):
Zr1 0.667 0.333 0.500
Zr2 0.333 0.667 0.500
Ag1 0.000 0.000 0.500
Zr3 0.324 0.324 0.000
Zr4 0.000 0.676 0.000
Zr5 0.676 0.000 0.000

Record 11
Compound: K3Np3TlSe8
Source: the Alexandria database
Functional: PBE
Structure: optimized geometry

- VASP energy: -88.7 eV/cell
- SG: R-3m (166)
- Formation energy (no corrections): -16.32 eV/f.u.
- DOS at the Fermi energy: 1.956 states/eV per atom

Lattice parameters (Å, degrees): 8.574 8.577 9.026 118.38 90.00 119.99
Site moments in Bohr magnetons follow the coordinates.
Atoms (fractional coordinates):
Np1 0.500 0.000 0.500  3.47
Np2 0.000 0.500 0.500  3.47
K1 0.000 0.500 0.000  0.00
Se1 0.251 0.503 0.704  -0.14
K2 0.500 0.500 0.000  0.00
Tl1 0.000 0.000 0.500  -0.04
Se2 0.299 0.047 0.296  -0.14
Np3 0.500 0.500 0.500  3.47
Se3 0.701 0.953 0.704  -0.14
Se4 0.265 0.529 0.294  -0.09
Se5 0.749 0.047 0.296  -0.14
K3 0.000 0.000 0.000  0.00
Se6 0.251 0.953 0.704  -0.14
Se7 0.735 0.471 0.706  -0.09
Se8 0.749 0.497 0.296  -0.14

Record 12
Compound: PmHfTh
Source: the Alexandria database
Functional: PBE
Structure: optimized geometry

- VASP energy: -21.5 eV/cell
- Calculated formation energy: 5.07 kcal/mol of atoms
- SG: P-6m2 (187)
- E above lowest polymorph: 0.064 eV/atom
- DOS at the Fermi energy: 1.404 states/eV per atom

Lattice parameters (Å, degrees): 3.428 5.444 5.444 120.00 90.00 90.00
Atoms (fractional coordinates):
Th1 0.666 0.667 0.333
Pm1 0.166 0.000 0.000
Hf1 0.167 0.333 0.667

Question: Which formula does entry 10 have?
Answer: Zr5Ag

Question: What is the VASP energy in the fourth record?
Answer: -34.2 eV/cell

Question: What is the VASP energy in the tenth record?
Answer: -45.2 eV/cell